[1]
This record from Alexandria describes an optimized crystal structure of TbReN4. The functional is GGA-PBE.

abc: 5.265 5.265 11.809
angles: 90.00 90.00 90.00
Space group I4_1/a (No. 88, origin choice 2)
Symmetry-distinct sites (fractional):
Tb 0.000 0.250 0.125
Re 0.000 0.250 0.625
N 0.142 0.497 0.290

Calculated values
- Formation energy without anion corrections: -102 meV/atom
- Final energy: -204.0 eV per cell
- Spin magnetization: 0.33 μB/atom

---

[2]
This record from Alexandria describes an optimized crystal structure of TbReN2. The functional is GGA-PBE.

abc: 3.1582 3.1582 19.9872
angles: 90.00 90.00 120.00
Space group R-3m (No. 166, hexagonal axes)
Symmetry-distinct sites (fractional):
Tb 0.0000 0.0000 0.0000
Re 0.0000 0.0000 0.5000
N 0.0000 0.0000 0.1141

Calculated values
- Formation energy without anion corrections: 137 meV/atom
- Energy above the lowest structure with this stoichiometry: 1.048 eV/atom
- Final energy: -99.5 eV per cell
- Spin magnetization: 0.01 μB/atom

---

[3]
This record from Alexandria describes an optimized crystal structure of TbRe2N4. The functional is GGA-PBE.

abc: 6.630 6.630 5.390
angles: 90.00 90.00 90.00
Space group I4/m (No. 87)
Symmetry-distinct sites (fractional):
Tb 0.000 0.000 0.000
Re 0.000 0.500 0.250
N 0.123 0.672 0.000

Calculated values
- Formation energy without anion corrections: -170 meV/atom
- Energy above the lowest structure with this stoichiometry: 0.252 eV/atom
- Final energy: -128.0 eV per cell
- Spin magnetization: 0.00 μB/atom